The following is a GGA-PBE calculation of a geometry-optimized SbPdSCl2 structure, from Alexandria via LeMat-Bulk.

The calculation puts the relative energy among the computed polymorphs at 0 meV/atom. As for the raw formation energy: 52 meV/atom. Its density of states at the Fermi level is 0.542 states/eV per atom. The calculation puts the volume at 110.9 Å³/cell.

a = 4.7661 Å, b = 4.7661 Å, c = 4.8805 Å
α = 90.00°, β = 90.00°, γ = 90.00°
Sites, in units of the cell vectors:
1 Sb 0.0000 0.0000 0.0000
2 Pd 0.5000 0.5000 0.5000
3 S 0.5000 0.5000 0.0000
4 Cl 0.0000 0.5000 0.5000
5 Cl 0.5000 0.0000 0.5000

---

The following is a GGA-PBE calculation of a geometry-optimized Rb12In3F5 structure, from Alexandria via LeMat-Bulk.

As for the raw formation energy: -1201 meV/atom. Its density of states at the Fermi level is 0.735 states/eV per atom. The calculation puts the volume at 3454.3 Å³/cell.

a = 16.4940 Å, b = 16.4940 Å, c = 16.4940 Å
α = 109.47°, β = 109.47°, γ = 109.47°
Sites, in units of the cell vectors:
1 Rb 0.0068 0.1907 0.1093
2 Rb 0.0068 0.3161 0.8975
3 Rb 0.0815 0.6907 0.6839
4 Rb 0.0815 0.8907 0.3975
5 Rb 0.1025 0.6093 0.4185
6 Rb 0.1025 0.9932 0.6839
7 Rb 0.1093 0.0068 0.1907
8 Rb 0.1093 0.6025 0.9185
9 Rb 0.1839 0.1907 0.5815
10 Rb 0.1839 0.4932 0.6025
11 Rb 0.1907 0.1093 0.0068
12 Rb 0.1907 0.5815 0.1839
13 Rb 0.3093 0.3161 0.9185
14 Rb 0.3093 0.4932 0.3907
15 Rb 0.3161 0.8975 0.0068
16 Rb 0.3161 0.9185 0.3093
17 Rb 0.3907 0.3093 0.4932
18 Rb 0.3907 0.5815 0.8975
19 Rb 0.3975 0.0815 0.8907
20 Rb 0.3975 0.8161 0.5068
21 Rb 0.4185 0.1025 0.6093
22 Rb 0.4185 0.8161 0.8093
23 Rb 0.4932 0.3907 0.3093
24 Rb 0.4932 0.6025 0.1839
25 Rb 0.5068 0.3975 0.8161
26 Rb 0.5068 0.6093 0.6907
27 Rb 0.5815 0.1839 0.1907
28 Rb 0.5815 0.8975 0.3907
29 Rb 0.6025 0.1839 0.4932
30 Rb 0.6025 0.9185 0.1093
31 Rb 0.6093 0.4185 0.1025
32 Rb 0.6093 0.6907 0.5068
33 Rb 0.6839 0.0815 0.6907
34 Rb 0.6839 0.1025 0.9932
35 Rb 0.6907 0.5068 0.6093
36 Rb 0.6907 0.6839 0.0815
37 Rb 0.8093 0.4185 0.8161
38 Rb 0.8093 0.8907 0.9932
39 Rb 0.8161 0.5068 0.3975
40 Rb 0.8161 0.8093 0.4185
41 Rb 0.8907 0.3975 0.0815
42 Rb 0.8907 0.9932 0.8093
43 Rb 0.8975 0.0068 0.3161
44 Rb 0.8975 0.3907 0.5815
45 Rb 0.9185 0.1093 0.6025
46 Rb 0.9185 0.3093 0.3161
47 Rb 0.9932 0.6839 0.1025
48 Rb 0.9932 0.8093 0.8907
49 In 0.1250 0.2500 0.3750
50 In 0.1250 0.3750 0.7500
51 In 0.2500 0.3750 0.1250
52 In 0.2500 0.8750 0.6250
53 In 0.3750 0.1250 0.2500
54 In 0.3750 0.7500 0.1250
55 In 0.6250 0.2500 0.8750
56 In 0.6250 0.8750 0.7500
57 In 0.7500 0.1250 0.3750
58 In 0.7500 0.6250 0.8750
59 In 0.8750 0.6250 0.2500
60 In 0.8750 0.7500 0.6250
61 F 0.0000 0.0000 0.0000
62 F 0.0000 0.0000 0.5000
63 F 0.0000 0.5000 0.0000
64 F 0.0000 0.5000 0.5000
65 F 0.1250 0.7500 0.8750
66 F 0.1250 0.8750 0.2500
67 F 0.2500 0.1250 0.8750
68 F 0.2500 0.6250 0.3750
69 F 0.3750 0.2500 0.6250
70 F 0.3750 0.6250 0.7500
71 F 0.5000 0.0000 0.0000
72 F 0.5000 0.0000 0.5000
73 F 0.5000 0.5000 0.0000
74 F 0.5000 0.5000 0.5000
75 F 0.6250 0.3750 0.2500
76 F 0.6250 0.7500 0.3750
77 F 0.7500 0.3750 0.6250
78 F 0.7500 0.8750 0.1250
79 F 0.8750 0.1250 0.7500
80 F 0.8750 0.2500 0.1250

---

The following is a GGA-PBE calculation of a geometry-optimized PrGa9Ni2 structure, from Alexandria via LeMat-Bulk.

The calculation puts the relative energy among the computed polymorphs at 35 meV/atom. The energy of formation comes out at -245.2 meV per atom. Its density of states at the Fermi level is 0.471 states/eV per atom. The calculation puts the volume at 411.3 Å³/cell.

a = 8.5201 Å, b = 8.5201 Å, c = 8.5201 Å
α = 98.90°, β = 98.90°, γ = 133.67°
Sites, in units of the cell vectors:
1 Pr 0.3750 0.6250 0.7500
2 Pr 0.6250 0.3750 0.2500
3 Ga 0.1216 0.5607 0.3210
4 Ga 0.1216 0.8005 0.5609
5 Ga 0.1250 0.8750 0.2500
6 Ga 0.1995 0.2604 0.3210
7 Ga 0.1995 0.8784 0.9391
8 Ga 0.2604 0.1995 0.8210
9 Ga 0.2604 0.4393 0.0609
10 Ga 0.4393 0.2604 0.5609
11 Ga 0.4393 0.8784 0.1790
12 Ga 0.5607 0.1216 0.8210
13 Ga 0.5607 0.7396 0.4391
14 Ga 0.7396 0.5607 0.9391
15 Ga 0.7396 0.8005 0.1790
16 Ga 0.8005 0.1216 0.0609
17 Ga 0.8005 0.7396 0.6790
18 Ga 0.8750 0.1250 0.7500
19 Ga 0.8784 0.1995 0.4391
20 Ga 0.8784 0.4393 0.6790
21 Ni 0.0000 0.0000 0.0000
22 Ni 0.0000 0.0000 0.5000
23 Ni 0.0000 0.5000 0.0000
24 Ni 0.5000 0.0000 0.5000

---

The following is a GGA-PBE calculation of a geometry-optimized Sr2MgBe structure, from Alexandria via LeMat-Bulk.

The calculation puts the relative energy among the computed polymorphs at 62 meV/atom. The energy of formation comes out at 308.7 meV per atom. Its density of states at the Fermi level is 0.753 states/eV per atom. The calculation puts the volume at 127.3 Å³/cell.

a = 3.7162 Å, b = 3.7162 Å, c = 9.2204 Å
α = 90.00°, β = 90.00°, γ = 90.00°
Sites, in units of the cell vectors:
1 Sr 0.0000 0.0000 0.0000
2 Sr 0.5000 0.5000 0.3842
3 Mg 0.5000 0.5000 0.7365
4 Be 0.0000 0.0000 0.6137

---

The following is a GGA-PBE calculation of a geometry-optimized NdGe2PdPt2 structure, from Alexandria via LeMat-Bulk.

The energy of formation comes out at -518.5 meV per atom. Its density of states at the Fermi level is 0.574 states/eV per atom. The calculation puts the volume at 259.8 Å³/cell.

a = 4.0869 Å, b = 4.0869 Å, c = 15.5520 Å
α = 90.00°, β = 90.00°, γ = 90.00°
Sites, in units of the cell vectors:
1 Nd 0.0000 0.0000 0.0000
2 Nd 0.5000 0.5000 0.5000
3 Ge 0.0000 0.0000 0.3453
4 Ge 0.0000 0.0000 0.6547
5 Ge 0.5000 0.5000 0.1547
6 Ge 0.5000 0.5000 0.8453
7 Pd 0.0000 0.0000 0.5000
8 Pd 0.5000 0.5000 0.0000
9 Pt 0.0000 0.5000 0.2500
10 Pt 0.0000 0.5000 0.7500
11 Pt 0.5000 0.0000 0.2500
12 Pt 0.5000 0.0000 0.7500

---

The following is a GGA-PBE calculation of a geometry-optimized Al2PW structure, from Alexandria via LeMat-Bulk.

The energy of formation comes out at 148.5 meV per atom. Its density of states at the Fermi level is 0.502 states/eV per atom. The calculation puts the volume at 120.3 Å³/cell.

a = 9.4828 Å, b = 2.9444 Å, c = 4.3281 Å
α = 90.00°, β = 95.20°, γ = 90.00°
Sites, in units of the cell vectors:
1 Al 0.2395 0.0000 0.2490
2 Al 0.2605 0.5000 0.7510
3 Al 0.7395 0.5000 0.2490
4 Al 0.7605 0.0000 0.7510
5 P 0.0000 0.0000 0.5000
6 P 0.5000 0.5000 0.5000
7 W 0.0000 0.5000 0.0000
8 W 0.5000 0.0000 0.0000